# 1
## MgZnCrSn (GGA-PBE)

Data for crystalline MgZnCrSn at its relaxed geometry.

Results
The energy above the lowest structure with this stoichiometry is 0.133 eV per atom.

```
data_MgZnCrSn
_symmetry_space_group_name_H-M 'I -4 m 2'
_symmetry_Int_Tables_number 119
_symmetry_space_group_name_Hall 'I -4 -2'
_cell_length_a 3.955
_cell_length_b 3.955
_cell_length_c 8.568
_cell_angle_alpha 90.00
_cell_angle_beta 90.00
_cell_angle_gamma 90.00
loop_
_atom_site_label
_atom_site_type_symbol
_atom_site_fract_x
_atom_site_fract_y
_atom_site_fract_z
Mg1 Mg 0.000 0.000 0.000
Zn1 Zn 0.000 0.500 0.250
Cr1 Cr 0.000 0.500 0.750
Sn1 Sn 0.000 0.000 0.500
```

=====

# 2
## MgZnCrSn (GGA-PBE)

Data for crystalline MgZnCrSn at its relaxed geometry.

Results
The energy above the lowest structure with this stoichiometry is 0.067 eV per atom.

```
data_MgZnCrSn
_symmetry_space_group_name_H-M 'I m m 2'
_symmetry_Int_Tables_number 44
_cell_length_a 3.291
_cell_length_b 4.535
_cell_length_c 9.936
_cell_angle_alpha 90.00
_cell_angle_beta 90.00
_cell_angle_gamma 90.00
loop_
_symmetry_equiv_pos_as_xyz
'x,y,z'
'-x,-y,z'
'-x,y,z'
'x,-y,z'
'x+1/2,y+1/2,z+1/2'
'-x+1/2,-y+1/2,z+1/2'
'-x+1/2,y+1/2,z+1/2'
'x+1/2,-y+1/2,z+1/2'
loop_
_atom_site_label
_atom_site_type_symbol
_atom_site_fract_x
_atom_site_fract_y
_atom_site_fract_z
Mg1 Mg 0.000 0.000 0.000
Zn1 Zn 0.000 0.000 0.467
Cr1 Cr 0.000 0.500 0.755
Sn1 Sn 0.000 0.500 0.222
```

=====

# 3
## SrMgCr2 (GGA-PBE)

Data for crystalline SrMgCr2 at its relaxed geometry.

Results
For the total energy, the calculation gives -0.3826 Ry/atom.

```
data_SrMgCr2
_symmetry_space_group_name_H-M 'P 1 m 1'
_symmetry_Int_Tables_number 6
_cell_length_a 3.287
_cell_length_b 3.290
_cell_length_c 8.181
_cell_angle_alpha 90.00
_cell_angle_beta 90.05
_cell_angle_gamma 90.00
loop_
_symmetry_equiv_pos_as_xyz
'x,y,z'
'x,-y,z'
loop_
_atom_site_label
_atom_site_type_symbol
_atom_site_fract_x
_atom_site_fract_y
_atom_site_fract_z
Sr1 Sr 0.000 0.000 0.000
Mg1 Mg 0.502 0.500 0.651
Cr1 Cr 0.000 0.000 0.418
Cr2 Cr 0.500 0.500 0.305
```

=====

# 4
## SrMgCr (GGA-PBE)

Data for crystalline SrMgCr at its relaxed geometry.

Results
The energy above the lowest structure with this stoichiometry is 0.552 eV per atom.

```
data_SrMgCr
_symmetry_space_group_name_H-M 'F -4 3 m'
_symmetry_Int_Tables_number 216
_symmetry_space_group_name_Hall 'F -4 2 3'
_cell_length_a 7.685
_cell_length_b 7.685
_cell_length_c 7.685
_cell_angle_alpha 90.00
_cell_angle_beta 90.00
_cell_angle_gamma 90.00
loop_
_atom_site_label
_atom_site_type_symbol
_atom_site_fract_x
_atom_site_fract_y
_atom_site_fract_z
Sr1 Sr 0.000 0.000 0.000
Mg1 Mg 0.250 0.250 0.750
Cr1 Cr 0.250 0.250 0.250
```

=====

What did we get for total magnetic moment? Answer: 0.000; 0.758; 0.029; 1.635 μB per atom, in the order shown.